Entry 1:
A plane-wave DFT calculation with PBE-GGA was carried out for a relaxed structure of CsCaI3.

Its uncorrected formation energy is -1.50 eV/atom. Its uncorrected energy is -120.23 eV per cell. The total magnetization comes out at 0.0 μB/cell. The crystal system is monoclinic.

a b c (Å): 18.7513 15.2386 9.0042
angles (deg): 90.00 90.08 90.00
Space group C2/c (No. 15)
Unique sites:
Cs1 0.2428 0.1514 0.2527 (multiplicity 8)
Ca1 0.0000 0.3371 0.2500 (multiplicity 4)
Ca2 0.0000 0.3420 0.7500 (multiplicity 4)
I1 0.1043 0.2555 0.5068 (multiplicity 8)
I2 0.1054 0.4964 0.2714 (multiplicity 8)
I3 0.1056 0.2582 0.0003 (multiplicity 8)

Entry 2:
A plane-wave DFT calculation with PBE-GGA was carried out for a relaxed structure of NdBe4Ge3O12.

Its uncorrected formation energy is -2.14 eV/atom. Its uncorrected energy is -407.54 eV per cell. The total magnetization comes out at 3.3 μB/cell. The crystal system is trigonal.

a b c (Å): 9.8573 9.8573 7.2493
angles (deg): 90.00 90.00 120.00
Space group R32 (No. 155, hexagonal axes)
Unique sites:
Nd1 0.0000 0.0000 0.0000 (multiplicity 3)
Be1 0.0000 0.0000 0.5000 (multiplicity 3)
Be2 0.0000 0.4333 0.5000 (multiplicity 9)
Ge1 0.0000 0.5612 0.0000 (multiplicity 9)
O1 0.0000 0.5918 0.5000 (multiplicity 9)
O2 0.0000 0.8413 0.5000 (multiplicity 9)
O3 0.0485 0.2213 0.1900 (multiplicity 18)

Entry 3:
A plane-wave DFT calculation with PBE-GGA was carried out for a relaxed structure of KTl2V2.

Its energy above the lowest structure with this stoichiometry is 147 meV/atom. Its uncorrected energy is -41.40 eV per cell. The energy relative to the elements comes out at 0.6736 eV/atom. The total magnetization comes out at 0.0 μB/cell. The crystal system is tetragonal.

a b c (Å): 5.4823 5.4823 8.3451
angles (deg): 90.00 90.00 90.00
Space group I4/mmm (No. 139)
Unique sites:
K1 0.0000 0.0000 0.0000 (multiplicity 2)
Tl1 0.0000 0.5000 0.2500 (multiplicity 4)
V1 0.0000 0.0000 0.3888 (multiplicity 4)

Entry 4:
A plane-wave DFT calculation with PBE-GGA was carried out for a relaxed structure of La2PSe.

Its energy above the lowest structure with this stoichiometry is 3 meV/atom. Its uncorrected formation energy is -1.86 eV/atom. Its uncorrected energy is -52.38 eV per cell. The total magnetization comes out at 0.0 μB/cell. The crystal system is orthorhombic.

a b c (Å): 4.2758 6.0689 8.6418
angles (deg): 90.00 90.00 90.00
Space group Pmmn (No. 59, origin choice 2)
Unique sites:
La1 0.2500 0.2500 0.1129 (multiplicity 2)
La2 0.2500 0.2500 0.6408 (multiplicity 2)
P1 0.2500 0.7500 0.1266 (multiplicity 2)
Se1 0.2500 0.7500 0.6223 (multiplicity 2)

Entry 5:
A plane-wave DFT calculation with PBE-GGA was carried out for a relaxed structure of NpInPb.

Its energy above the lowest structure with this stoichiometry is 0 meV/atom. Its uncorrected energy is -37.60 eV per cell. The energy relative to the elements comes out at 0.1959 eV/atom. The total magnetization comes out at 9.4 μB/cell. The crystal system is triclinic.

a b c (Å): 3.1911 3.2062 16.1047
angles (deg): 90.02 90.00 90.65
Space group P-1 (No. 2)
Unique sites:
Np1 0.0007 0.4988 0.2444 (multiplicity 2)
In1 0.4994 0.0016 0.9096 (multiplicity 2)
Pb1 0.4991 0.0011 0.5976 (multiplicity 2)

Entry 6:
A plane-wave DFT calculation with PBE-GGA was carried out for a relaxed structure of As2I3Cl5.

Its uncorrected formation energy is -0.23 eV/atom. Its uncorrected energy is -102.04 eV per cell. The total magnetization comes out at 0.2 μB/cell. The crystal system is orthorhombic.

a b c (Å): 12.2881 15.4416 10.7721
angles (deg): 90.00 90.00 90.00
Space group Ibam (No. 72)
Unique sites:
As1 0.0345 0.2040 0.0000 (multiplicity 8)
I1 0.0000 0.0000 0.2500 (multiplicity 4)
I2 0.0264 0.3651 0.0000 (multiplicity 8)
Cl1 0.0000 0.1677 0.2500 (multiplicity 8)
Cl2 0.0000 0.5000 0.2500 (multiplicity 4)
Cl3 0.2089 0.1762 0.0000 (multiplicity 8)